Entry 1:
The following is a DFT calculation (GGA-PBE) of a geometry-optimized HfCrPdPb2 structure.

The value obtained for the mass density is 8.84 Mg/m³. The calculation puts the formation enthalpy at 0 K at 5.6 eV/f.u. The calculation puts the density of states at the Fermi level at 2.47 states/eV per cell.

The structure belongs to space group P4/mmm (No. 123); the cell edges are 5.462, 5.462 and 4.729 Å and the angles 90.00°, 90.00° and 90.00°. Symmetry generates all atoms from Hf at (0.000, 0.000, 0.000), Cr at (0.000, 0.000, 0.500), Pd at (0.500, 0.500, 0.500) and Pb at (0.000, 0.500, 0.000).

---

Entry 2:
The following is a DFT calculation (GGA-PBE) of a geometry-optimized CsCuOsO2 structure.

For the total energy, the calculation gives -3.77 eV per atom. The value obtained for the mass density is 7.79 Mg/m³. The calculation puts the density of states at the Fermi level at 4.89 states/eV per cell.

The structure belongs to space group P4/mmm (No. 123); the cell edges are 3.988, 3.988 and 5.609 Å and the angles 90.00°, 90.00° and 90.00°. Symmetry generates all atoms from Cs at (0.000, 0.000, 0.000), Cu at (0.000, 0.000, 0.500), Os at (0.500, 0.500, 0.000) and O at (0.000, 0.500, 0.500).